Record 1
Entry from the Alexandria database: a relaxed structure of TlCd2CuGe (PBE).

The value obtained for the formation energy is 204 kJ/mol of formula units. The value obtained for the energy above the most stable polymorph in this dataset is 223 meV per atom. The calculation puts the volume at 25.412 Å³ per atom.

It has space group P4/mmm (No. 123), with a = 5.0315 Å, b = 5.0315 Å, c = 5.0188 Å, α = 90.00°, β = 90.00° and γ = 90.00°. The asymmetric unit holds Tl at (0.0000, 0.0000, 0.0000), Cd at (0.0000, 0.5000, 0.5000), Cu at (0.0000, 0.0000, 0.5000) and Ge at (0.5000, 0.5000, 0.0000).

Record 2
Entry from the Alexandria database: a relaxed structure of ThCd2Au8 (PBE).

The value obtained for the formation energy is -281 kJ/mol of formula units. The calculation puts the volume at 20.837 Å³ per atom.

It has space group C2/m (No. 12), with a = 8.1790 Å, b = 13.8342 Å, c = 5.1836 Å, α = 90.00°, β = 128.60° and γ = 90.00°. The asymmetric unit holds Th at (0.0000, 0.0000, 0.0000), Cd at (0.0000, 0.3133, 0.5000), Au at (0.0000, 0.2173, 0.0000), Au at (0.0642, 0.5000, 0.8093) and Au at (0.2105, 0.1229, 0.6417).

Record 3
Entry from the Alexandria database: a relaxed structure of Ac3Tl3In2 (PBE).

The value obtained for the formation energy is -295 kJ/mol of formula units. The value obtained for the energy above the most stable polymorph in this dataset is 0 meV per atom. The calculation puts the volume at 32.967 Å³ per atom.

It has space group Cmcm (No. 63), with a = 4.9251 Å, b = 12.6500 Å, c = 16.9326 Å, α = 90.00°, β = 90.00° and γ = 90.00°. The asymmetric unit holds Ac at (0.0000, 0.0652, 0.1105), Ac at (0.0000, 0.3464, 0.2500), Tl at (0.0000, 0.3727, 0.0371), Tl at (0.0000, 0.3835, 0.7500) and In at (0.0000, 0.2262, 0.6107).

Record 4
Entry from the Alexandria database: a relaxed structure of DyBeSn (PBE).

The value obtained for the formation energy is -129 kJ/mol of formula units. The calculation puts the volume at 21.080 Å³ per atom.

It has space group P-6m2 (No. 187), with a = 4.1808 Å, b = 4.1808 Å, c = 4.1779 Å, α = 90.00°, β = 90.00° and γ = 120.00°. The asymmetric unit holds Dy at (0.0000, 0.0000, 0.0000), Be at (0.3333, 0.6667, 0.5000) and Sn at (0.6667, 0.3333, 0.5000).